a | The following is a PBE calculation of an optimized crystal structure of PmMg2Pb2, from Alexandria via LeMat-Bulk.

POSCAR file:
```
PmMg2Pb2
1.0
-2.869 2.313 3.597
-1.880 -4.033 -2.592
4.852 -8.097 9.078
Pm Mg Pb
2 4 4
direct
0.000 0.000 0.250 Pm
0.000 0.000 0.750 Pm
0.667 0.333 0.750 Mg
0.000 0.000 0.000 Mg
0.000 0.000 0.500 Mg
0.333 0.667 0.250 Mg
0.333 0.667 0.621 Pb
0.667 0.333 0.121 Pb
0.667 0.333 0.379 Pb
0.333 0.667 0.879 Pb
```

Values from the calculation:
**Total magnetic moment**: 0.000 μB per atom
**Space-group type**: P6_3/mmc


b | The following is a PBE calculation of an optimized crystal structure of PmMg2Pb2, from Alexandria via LeMat-Bulk.

POSCAR file:
```
PmMg2Pb2
1.0
-3.316 -1.152 3.764
0.580 -2.948 -4.800
8.738 -7.218 5.490
Pm Mg Pb
2 4 4
direct
0.973 0.001 0.250 Pm
0.027 0.999 0.750 Pm
0.321 0.659 0.588 Mg
0.679 0.341 0.088 Mg
0.679 0.341 0.412 Mg
0.321 0.659 0.912 Mg
0.751 0.357 0.750 Pb
0.000 0.000 0.000 Pb
0.000 0.000 0.500 Pb
0.249 0.643 0.250 Pb
```

Values from the calculation:
**Total magnetic moment**: 0.000 μB per atom
**Space-group type**: P2_1/m


Going by the energies, b is most stable and the next is 105 meV/atom up.


a | The following is a PBE calculation of an optimized crystal structure of PmMg2Pb3, from Alexandria via LeMat-Bulk.

POSCAR file:
```
PmMg2Pb3
1.0
6.199 0.000 0.000
0.000 7.768 1.897
0.000 -0.137 7.995
Pm Mg Pb
2 4 6
direct
0.250 0.299 0.701 Pm
0.750 0.701 0.299 Pm
0.000 0.125 0.125 Mg
0.500 0.125 0.125 Mg
0.000 0.875 0.875 Mg
0.500 0.875 0.875 Mg
0.750 0.207 0.793 Pb
0.750 0.275 0.389 Pb
0.250 0.389 0.275 Pb
0.750 0.611 0.725 Pb
0.250 0.725 0.611 Pb
0.250 0.793 0.207 Pb
```

Values from the calculation:
**Total magnetic moment**: 0.000 μB per atom
**Space-group type**: Cmcm


b | The following is a PBE calculation of an optimized crystal structure of PmMg2Pb3, from Alexandria via LeMat-Bulk.

POSCAR file:
```
PmMg2Pb3
1.0
4.472 0.000 0.000
0.000 4.664 -1.577
0.000 0.044 7.817
Pm Mg Pb
1 2 3
direct
0.000 0.000 0.000 Pm
0.000 0.672 0.344 Mg
0.000 0.328 0.656 Mg
0.500 0.171 0.341 Pb
0.500 0.500 0.000 Pb
0.500 0.829 0.659 Pb
```

Values from the calculation:
**Total magnetic moment**: 0.000 μB per atom
**Space-group type**: Cmmm


Going by the energies, b is most stable and the next is 241 meV/atom up.